The following is a DFT calculation (GGA-PBE) of a geometry-optimized AgPd2Pt structure.

Properties
* SG: P4/mmm (123)
* energy relative to the elements: 0.000 eV per atom
* offset from the most stable computed form: 41 meV/atom

Geometry as POSCAR:
```
AgPd2Pt
1.0
3.920 0.000 0.000
0.000 4.034 0.000
0.000 0.000 4.034
Pt Pd Ag
1 2 1
Direct
0.500 0.500 0.500
0.000 0.000 0.500
0.000 0.500 0.000
0.500 0.000 0.000
```

The following is a DFT calculation (GGA-PBE) of a geometry-optimized Ho6AlSe5 structure.

Properties
* SG: C2/m (12)
* formation energy without anion corrections: -1507 meV/atom

Geometry as POSCAR:
```
Ho6AlSe5
1.0
-4.902 -4.693 -2.052
6.558 -0.373 -2.669
1.254 -2.390 6.558
Ho Se Al
6 5 1
Direct
0.081 0.409 0.246
0.409 0.081 0.246
0.755 0.755 0.245
0.591 0.919 0.754
0.245 0.245 0.755
0.919 0.591 0.754
0.831 0.169 0.500
0.169 0.831 0.500
0.500 0.500 0.500
0.334 0.666 0.000
0.666 0.334 0.000
0.000 0.000 0.000
```

The following is a DFT calculation (GGA-PBE) of a geometry-optimized SbW2Au structure.

Properties
* SG: I-4m2 (119)
* formation energy without anion corrections: 655 meV/atom

Geometry as POSCAR:
```
SbW2Au
1.0
-2.780 1.470 3.960
-4.653 1.183 -1.585
2.866 -4.097 -0.756
W Sb Au
2 1 1
Direct
0.250 0.750 0.500
0.000 0.000 0.000
0.750 0.250 0.500
0.500 0.500 0.000
```

The following is a DFT calculation (GGA-PBE) of a geometry-optimized KTl2W structure.

Properties
* SG: Fm-3m (225)
* energy relative to the elements: 1.081 eV per atom
* offset from the most stable computed form: 409 meV/atom

Geometry as POSCAR:
```
KTl2W
1.0
0.000 3.732 3.732
3.732 0.000 3.732
3.732 3.732 0.000
Tl W K
2 1 1
Direct
0.750 0.750 0.750
0.250 0.250 0.250
0.500 0.500 0.500
0.000 0.000 0.000
```

The following is a DFT calculation (GGA-PBE) of a geometry-optimized ErTm2S2 structure.

Properties
* SG: Immm (71)
* formation energy without anion corrections: -1508 meV/atom

Geometry as POSCAR:
```
ErTm2S2
1.0
3.688 0.000 -0.895
-0.559 4.797 -2.303
-0.360 0.124 6.562
Tm S Er
2 2 1
Direct
0.333 0.333 0.666
0.667 0.667 0.334
0.668 0.168 0.337
0.332 0.832 0.663
0.000 0.000 0.000
```

The following is a DFT calculation (GGA-PBE) of a geometry-optimized Ag3TeAu structure.

Properties
* SG: Pm-3m (221)
* formation energy without anion corrections: 513 meV/atom

Geometry as POSCAR:
```
Ag3TeAu
1.0
-1.270 0.915 5.053
-0.839 -5.172 0.726
5.066 -0.627 1.386
Ag Te Au
3 1 1
Direct
0.000 0.000 0.500
0.500 0.000 0.000
0.000 0.500 0.000
0.000 0.000 0.000
0.500 0.500 0.500
```

The following is a DFT calculation (GGA-PBE) of a geometry-optimized Y6TlRh3 structure.

Properties
* SG: P2_1/m (11)
* energy relative to the elements: -0.545 eV per atom

Geometry as POSCAR:
```
Y6TlRh3
1.0
4.494 0.000 0.000
0.000 9.955 -3.872
0.000 -0.151 11.849
Y Rh Tl
12 6 2
Direct
0.750 0.478 0.611
0.250 0.117 0.898
0.250 0.170 0.200
0.250 0.277 0.693
0.750 0.723 0.307
0.750 0.130 0.434
0.750 0.883 0.102
0.250 0.522 0.389
0.250 0.870 0.566
0.750 0.830 0.800
0.250 0.600 0.932
0.750 0.400 0.068
0.750 0.111 0.039
0.750 0.422 0.828
0.250 0.578 0.172
0.250 0.889 0.961
0.750 0.690 0.529
0.250 0.310 0.471
0.250 0.921 0.301
0.750 0.079 0.699
```

The following is a DFT calculation (GGA-PBE) of a geometry-optimized La2SnAs structure.

Properties
* SG: R-3m (166)
* energy relative to the elements: -1.091 eV per atom
* offset from the most stable computed form: 86 meV/atom

Geometry as POSCAR:
```
La2SnAs
1.0
-3.990 -0.290 1.613
-2.158 -3.727 -0.242
0.965 -3.543 7.519
As La Sn
1 2 1
Direct
0.000 0.000 0.000
0.741 0.741 0.778
0.259 0.259 0.222
0.500 0.500 0.500
```

The following is a DFT calculation (GGA-PBE) of a geometry-optimized Hf2InCl8 structure.

Properties
* SG: C2/m (12)
* formation energy without anion corrections: -1564 meV/atom

Geometry as POSCAR:
```
Hf2InCl8
1.0
7.636 -0.287 -0.218
-0.426 7.352 1.096
-0.426 3.035 6.786
Cl Hf In
8 2 1
Direct
0.370 0.882 0.367
0.242 0.340 0.340
0.630 0.633 0.118
0.630 0.118 0.633
0.775 0.178 0.178
0.758 0.660 0.660
0.370 0.367 0.882
0.225 0.822 0.822
0.502 0.746 0.746
0.498 0.254 0.254
0.000 0.000 0.000
```

The following is a DFT calculation (GGA-PBE) of a geometry-optimized CsAsPbSe3 structure.

Properties
* SG: P2_1/m (11)
* formation energy without anion corrections: -517 meV/atom

Geometry as POSCAR:
```
CsAsPbSe3
1.0
4.114 0.000 0.000
0.000 9.295 0.430
0.000 -4.167 10.606
Se Pb Cs As
6 2 2 2
Direct
0.250 0.156 0.841
0.750 0.355 0.594
0.250 0.645 0.406
0.750 0.844 0.159
0.750 0.428 0.103
0.250 0.572 0.897
0.250 0.149 0.590
0.750 0.851 0.410
0.750 0.775 0.739
0.250 0.225 0.261
0.250 0.636 0.127
0.750 0.364 0.873
```

The following is a DFT calculation (GGA-PBE) of a geometry-optimized LiIrRh2 structure.

Properties
* SG: Cmmm (65)
* energy relative to the elements: -0.123 eV per atom
* offset from the most stable computed form: 0 meV/atom

Geometry as POSCAR:
```
LiIrRh2
1.0
4.675 0.015 -0.004
-1.589 4.397 -0.004
0.002 0.003 2.676
Ir Rh Li
1 2 1
Direct
0.500 0.000 0.500
0.500 0.500 0.000
0.000 0.000 0.000
0.000 0.500 0.500
```

The following is a DFT calculation (GGA-PBE) of a geometry-optimized KRe2AgB structure.

Properties
* SG: P4/mmm (123)
* energy relative to the elements: 2.673 eV per atom

Geometry as POSCAR:
```
KRe2AgB
1.0
5.235 0.000 0.000
0.000 4.179 0.000
0.000 0.000 5.235
Ag K Re B
1 1 2 1
Direct
0.000 0.000 0.000
0.500 0.500 0.500
0.000 0.000 0.500
0.500 0.000 0.000
0.000 0.500 0.000
```